Entry 1:
Er5Ir4Pt PBE relaxed; calculated formation energy = -9.59 eV/f.u.
1.0
3.358 0.000 0.000
0.000 3.358 0.000
0.000 0.000 17.552
Er Ir Pt
5 4 1
Direct
0.000 0.000 0.000 Er
0.000 0.000 0.199 Er
0.000 0.000 0.397 Er
0.000 0.000 0.603 Er
0.000 0.000 0.801 Er
0.500 0.500 0.099 Ir
0.500 0.500 0.299 Ir
0.500 0.500 0.701 Ir
0.500 0.500 0.901 Ir
0.500 0.500 0.500 Pt

Entry 2:
ZnPdRh PBE relaxed; energy above the most stable polymorph in this dataset = 32 meV per atom; calculated formation energy = -0.69 eV/f.u.
1.0
8.360 0.000 0.000
0.000 3.962 0.000
-1.300 0.000 5.251
Zn Pd Rh
4 4 4
Direct
0.162 0.000 0.330 Zn
0.338 0.500 0.670 Zn
0.662 0.500 0.330 Zn
0.838 0.000 0.670 Zn
0.000 0.500 0.000 Pd
0.000 0.500 0.500 Pd
0.500 0.000 0.000 Pd
0.500 0.000 0.500 Pd
0.173 0.000 0.836 Rh
0.327 0.500 0.164 Rh
0.673 0.500 0.836 Rh
0.827 0.000 0.164 Rh

Entry 3:
Mn2AuBr PBE relaxed; energy above the most stable polymorph in this dataset = 229 meV per atom; formation energy without anion corrections = 1.2 eV per formula unit
1.0
3.136 0.000 0.000
0.000 4.748 0.000
0.000 0.000 4.989
Mn Au Br
2 1 1
Direct
0.000 0.000 0.000 Mn
0.000 0.500 0.500 Mn
0.500 0.000 0.500 Au
0.500 0.500 0.000 Br

Entry 4:
TbPmPrHo3 PBE relaxed; calculated formation energy = 0.69 eV/f.u.
1.0
2.961 -5.588 0.000
2.961 5.588 0.000
0.000 0.000 11.851
Tb Pm Pr Ho
2 2 2 6
Direct
0.174 0.826 0.750 Tb
0.826 0.174 0.250 Tb
0.498 0.502 0.750 Pm
0.502 0.498 0.250 Pm
0.000 0.000 0.000 Pr
0.000 0.000 0.500 Pr
0.172 0.828 0.250 Ho
0.328 0.672 0.002 Ho
0.328 0.672 0.498 Ho
0.672 0.328 0.502 Ho
0.672 0.328 0.998 Ho
0.828 0.172 0.750 Ho

Entry 5:
CaMo3Os PBE relaxed; energy above the most stable polymorph in this dataset = 0 meV per atom; calculated formation energy = 6.13 eV/f.u.
1.0
4.841 0.000 0.000
0.000 4.841 0.000
0.000 0.000 4.841
Ca Mo Os
1 3 1
Direct
0.000 0.000 0.000 Ca
0.000 0.500 0.500 Mo
0.500 0.000 0.500 Mo
0.500 0.500 0.000 Mo
0.500 0.500 0.500 Os

Entry 6:
ThZrSc PBE relaxed; energy above the most stable polymorph in this dataset = 24 meV per atom; calculated formation energy = 0.22 eV/f.u.
1.0
3.899 0.000 0.000
0.000 3.899 0.000
0.000 0.000 10.386
Th Zr Sc
2 2 2
Direct
0.250 0.250 0.244 Th
0.750 0.750 0.756 Th
0.250 0.250 0.930 Zr
0.750 0.750 0.070 Zr
0.250 0.250 0.580 Sc
0.750 0.750 0.420 Sc

Entry 7:
SbPbO3 PBE relaxed; formation energy without anion corrections = -1.6 eV per formula unit
1.0
4.248 0.000 0.000
0.000 4.248 0.000
0.000 0.000 4.248
Sb Pb O
1 1 3
Direct
0.000 0.000 0.000 Sb
0.500 0.500 0.500 Pb
0.000 0.500 0.500 O
0.500 0.000 0.500 O
0.500 0.500 0.000 O

Entry 8:
Hg3NF PBE relaxed; energy above the most stable polymorph in this dataset = 209 meV per atom; formation energy without anion corrections = 1.2 eV per formula unit
1.0
4.720 0.000 0.000
0.000 4.720 0.000
0.000 0.000 4.720
Hg N F
3 1 1
Direct
0.000 0.000 0.500 Hg
0.000 0.500 0.000 Hg
0.500 0.000 0.000 Hg
0.000 0.000 0.000 N
0.500 0.500 0.500 F

Entry 9:
KGaP2N PBE relaxed; formation energy without anion corrections = 12.1 eV per formula unit
1.0
5.694 0.000 0.000
0.000 5.694 0.000
0.000 0.000 6.307
K Ga P N
1 1 2 1
Direct
0.000 0.000 0.000 K
0.000 0.000 0.500 Ga
0.000 0.500 0.000 P
0.500 0.000 0.000 P
0.500 0.500 0.500 N

Entry 10:
LiI PBE relaxed; energy above the most stable polymorph in this dataset = 37 meV per atom; formation energy without anion corrections = -2.4 eV per formula unit
1.0
6.014 0.000 0.000
0.000 6.014 0.000
0.000 0.000 6.014
Li I
4 4
Direct
0.000 0.000 0.000 Li
0.000 0.500 0.500 Li
0.500 0.000 0.500 Li
0.500 0.500 0.000 Li
0.000 0.000 0.500 I
0.000 0.500 0.000 I
0.500 0.000 0.000 I
0.500 0.500 0.500 I

Entry 11:
ScMnCl2 PBE relaxed; energy above the most stable polymorph in this dataset = 124 meV per atom; formation energy without anion corrections = -3.2 eV per formula unit
1.0
3.334 0.000 0.000
-1.667 2.888 0.000
0.000 0.000 27.150
Sc Mn Cl
3 3 6
Direct
0.000 0.000 0.000 Sc
0.333 0.667 0.667 Sc
0.667 0.333 0.333 Sc
0.000 0.000 0.500 Mn
0.333 0.667 0.167 Mn
0.667 0.333 0.833 Mn
0.000 0.000 0.396 Cl
0.000 0.000 0.604 Cl
0.333 0.667 0.063 Cl
0.333 0.667 0.270 Cl
0.667 0.333 0.730 Cl
0.667 0.333 0.937 Cl

Entry 12:
SrCaPb2 PBE relaxed; calculated formation energy = -0.83 eV/f.u.
1.0
8.917 0.000 0.000
0.000 8.917 0.000
0.000 0.000 7.174
Sr Ca Pb
4 4 8
Direct
0.000 0.000 0.000 Sr
0.000 0.500 0.250 Sr
0.500 0.000 0.750 Sr
0.500 0.500 0.500 Sr
0.000 0.000 0.500 Ca
0.000 0.500 0.750 Ca
0.500 0.000 0.250 Ca
0.500 0.500 0.000 Ca
0.237 0.250 0.625 Pb
0.250 0.737 0.875 Pb
0.250 0.763 0.375 Pb
0.263 0.250 0.125 Pb
0.737 0.750 0.125 Pb
0.750 0.237 0.375 Pb
0.750 0.263 0.875 Pb
0.763 0.750 0.625 Pb

no.,DOS(E_F) (states/eV/f.u.)
1,4.74
2,3.45
3,2.55
4,12.23
5,4.81
6,4.51
7,1.60
8,1.80
9,3.88
10,0.00
11,1.95
12,4.41